Entry 1:
Material: Sn3BiW
Method: DFT, PBE
State: optimized geometry

Geometry as POSCAR:
```
Sn3BiW
1.0
5.3276 0.0000 0.0000
0.0000 5.3276 0.0000
0.0000 0.0000 5.3276
W Bi Sn
1 1 3
Cartesian
0.0000 0.0000 0.0000
2.6638 2.6638 2.6638
2.6638 0.0000 0.0000
0.0000 0.0000 2.6638
0.0000 2.6638 0.0000
```

Summary:
E_tot   -25.90 eV/f.u.
Crystal system   cubic
Formation energy from the elements   0.589 eV per atom


Entry 2:
Material: SrNi4As
Method: DFT, PBE
State: optimized geometry

Geometry as POSCAR:
```
SrNi4As
1.0
0.0000 3.5529 3.5529
3.5529 0.0000 3.5529
3.5529 3.5529 0.0000
Ni Sr As
4 1 1
Cartesian
4.4508 4.4508 2.6549
4.4508 2.6549 4.4508
2.6549 2.6549 2.6549
2.6549 4.4508 4.4508
5.3293 5.3293 5.3293
0.0000 0.0000 0.0000
```

Summary:
E_tot   -29.15 eV/f.u.
Crystal system   cubic
Formation energy from the elements   0.052 eV per atom


Entry 3:
Material: H2AuSO8
Method: DFT, PBE
State: optimized geometry

Geometry as POSCAR:
```
H2AuSO8
1.0
5.0051 0.1096 -0.1651
0.1055 5.1017 -0.0425
-0.2581 -0.0779 5.7047
H O S Au
2 8 1 1
Cartesian
4.0915 3.2140 1.5009
0.7610 1.9194 3.9962
3.7334 0.5721 4.3090
1.1192 4.5613 1.1881
4.0511 3.3960 2.4898
0.8986 4.3899 4.5086
4.0450 3.7474 5.5294
0.8076 1.3860 -0.0323
0.8014 1.7374 3.0073
3.9539 0.7435 0.9885
0.0000 0.0000 0.0000
-0.1290 -0.0389 2.8524
```

Summary:
E_tot   -55.33 eV/f.u.
Crystal system   triclinic


Entry 4:
Material: PmHoSb2
Method: DFT, PBE
State: optimized geometry

Geometry as POSCAR:
```
PmHoSb2
1.0
-1.0019 0.6157 3.1391
-5.4726 -0.5068 -1.6472
0.1721 -5.6171 1.1567
Sb Pm Ho
2 1 1
Cartesian
-2.7363 -0.2534 -0.8236
0.0860 -2.8086 0.5783
-3.1512 -2.7541 1.3243
-0.5009 0.3079 1.5696
```

Summary:
E_tot   -21.04 eV/f.u.
Crystal system   tetragonal


Entry 5:
Material: YTaSe2N
Method: DFT, PBE
State: optimized geometry

Geometry as POSCAR:
```
YTaSe2N
1.0
-4.5362 -1.9984 -1.4222
-1.3946 -0.3584 4.9518
-1.5360 3.6085 -0.1714
Se Ta Y N
2 1 1 1
Cartesian
-0.6973 -0.1792 2.4759
-2.2681 -0.9992 -0.7111
0.0000 0.0000 0.0000
-3.7334 0.6258 1.6791
-0.7680 1.8043 -0.0857
```

Summary:
E_tot   -37.52 eV/f.u.
Crystal system   tetragonal


Entry 6:
Material: Tl2Sb
Method: DFT, PBE
State: optimized geometry

Geometry as POSCAR:
```
Tl2Sb
1.0
5.6257 0.0000 0.0000
0.0000 5.6257 0.0000
0.0000 0.0000 3.5664
Sb Tl
1 2
Cartesian
0.0000 0.0000 0.0000
0.0000 2.8129 1.7832
2.8129 0.0000 1.7832
```

Summary:
E_tot   -8.41 eV/f.u.
Crystal system   tetragonal


Entry 7:
Material: TbPaTl
Method: DFT, PBE
State: optimized geometry

Geometry as POSCAR:
```
TbPaTl
1.0
-2.9508 -0.9908 -3.0691
2.7235 -2.9936 -1.6521
-3.3588 -4.0937 7.6639
Tl Pa Tb
2 2 2
Cartesian
-1.0992 -3.7195 -0.8554
-2.4868 -4.3586 3.7981
1.3618 -1.4968 -0.8260
-1.4754 -0.4954 -1.5346
-2.3746 -5.9549 1.0925
-1.2114 -2.1232 1.8502
```

Summary:
E_tot   -16.67 eV/f.u.
Crystal system   tetragonal
Formation energy from the elements   -0.059 eV per atom


Entry 8:
Material: K2TaOs
Method: DFT, PBE
State: optimized geometry

Geometry as POSCAR:
```
K2TaOs
1.0
3.2832 0.0000 0.0000
0.0000 4.4078 0.0000
0.0000 0.0000 6.1210
K Ta Os
2 1 1
Cartesian
1.6416 2.2039 0.0000
0.0000 0.0000 0.0000
0.0000 2.2039 3.0605
1.6416 0.0000 3.0605
```

Summary:
E_tot   -20.53 eV/f.u.
Crystal system   orthorhombic
Formation energy from the elements   1.187 eV per atom


| no. | N(E_F) (states/eV/cell) |
| --- | --- |
| 1 | 6.93 |
| 2 | 7.19 |
| 3 | 2.52 |
| 4 | 1.78 |
| 5 | 1.71 |
| 6 | 1.39 |
| 7 | 9.96 |
| 8 | 4.16 |